# Mn3VF (PBE+U, optimized geometry)
data_Mn3VF
_chemical_formula_sum 'Mn3 V1 F1'
_cell_length_a 5.0225
_cell_length_b 5.0225
_cell_length_c 5.0225
_cell_angle_alpha 90.00
_cell_angle_beta 90.00
_cell_angle_gamma 90.00
_space_group_name_H-M_alt 'P m -3 m'
_space_group_IT_number 221
_space_group_name_Hall '-P 4 2 3'
loop_
_atom_site_label
_atom_site_type_symbol
_atom_site_fract_x
_atom_site_fract_y
_atom_site_fract_z
Mn1 Mn 0.0000 0.0000 0.5000
V1 V 0.0000 0.0000 0.0000
F1 F 0.5000 0.5000 0.5000
# Magnetization: 10.009 μB/f.u.
# V: 127 Å³ per cell
# Excess energy over the best structure of this formula in the dataset: 755.4 meV per atom